1.
Density functional theory data (GGA-PBE) for an optimized crystal structure of Y3TiIn.

abc: 5.333 5.333 5.333
angles: 90.00 90.00 90.00
Fractional positions:
Y 0.000 0.000 0.500
Y 0.000 0.500 0.000
Y 0.500 0.000 0.000
Ti 0.000 0.000 0.000
In 0.500 0.500 0.500

Summary:
SG = Pm-3m
Total energy = -5.58 eV per atom

***

2.
Density functional theory data (GGA-PBE) for an optimized crystal structure of Ti2Al6Si.

abc: 6.682 6.682 6.304
angles: 110.53 110.53 32.95
Fractional positions:
Ti 0.052 0.052 0.294
Ti 0.948 0.948 0.706
Al 0.172 0.172 0.002
Al 0.277 0.277 0.654
Al 0.397 0.397 0.347
Al 0.603 0.603 0.653
Al 0.723 0.723 0.346
Al 0.828 0.828 0.998
Si 0.500 0.500 0.000

Summary:
SG = C2/m
Formation energy without anion corrections = -0.29 eV/atom

***

3.
Density functional theory data (GGA-PBE) for an optimized crystal structure of La2MgIr.

abc: 3.706 3.706 7.962
angles: 90.00 90.00 90.00
Fractional positions:
La 0.000 0.000 0.209
La 0.000 0.000 0.791
Mg 0.500 0.500 0.500
Ir 0.500 0.500 0.000

Summary:
SG = P4/mmm
Total energy = -5.47 eV per atom

***

no.,density of states at the Fermi level (states/eV/cell),total moment (μB per cell)
1,5.388,0.00
2,4.750,0.00
3,2.774,0.00